Entry from the Alexandria database: an optimized crystal structure of CuPbSe2O8 (PBE-GGA).

Lattice parameters (Å, degrees): 8.003 8.003 8.003 36.52 36.52 36.52
Fractional positions:
Cu1 0.000 0.000 0.000
Pb1 0.500 0.500 0.500
Se1 0.256 0.256 0.256
Se2 0.744 0.744 0.744
O1 0.044 0.728 0.398
O2 0.181 0.181 0.181
O3 0.272 0.602 0.956
O4 0.398 0.044 0.728
O5 0.602 0.956 0.272
O6 0.728 0.398 0.044
O7 0.819 0.819 0.819
O8 0.956 0.272 0.602

Values from the calculation:
- E: -62.43 eV for the cell shown
- Formation energy from raw total energies: -0.67 eV per atom
- Total magnetization: 1.0 Bohr magnetons per cell